Record 1
Here is Gd2TmFe9 after structural relaxation from OQMD via LeMat-Bulk. Energies are from PBE.

POSCAR file:
```
Gd2TmFe9
1.0
2.5213 1.4557 8.0820
-2.5213 1.4557 8.0820
0.0000 -2.9114 8.0820
Gd Tm Fe
2 1 9
Direct
0.1416 0.1416 0.1416
0.8584 0.8584 0.8584
0.0000 0.0000 0.0000
0.0820 0.5797 0.5797
0.3328 0.3328 0.3328
0.4203 0.4203 0.9180
0.4203 0.9180 0.4203
0.5000 0.5000 0.5000
0.5797 0.0820 0.5797
0.5797 0.5797 0.0820
0.6672 0.6672 0.6672
0.9180 0.4203 0.4203
```

Values from the calculation:
Total energy in eV/atom: -7.4327
Crystal system: trigonal

=====

Record 2
Here is GdUFe after structural relaxation from OQMD via LeMat-Bulk. Energies are from PBE.

POSCAR file:
```
GdUFe
1.0
0.0000 3.2304 3.2304
3.2304 0.0000 3.2304
3.2304 3.2304 0.0000
Gd U Fe
1 1 1
Direct
0.0000 0.0000 0.0000
0.5000 0.5000 0.5000
0.7500 0.7500 0.7500
```

Values from the calculation:
Total energy in eV/atom: -7.5092
Crystal system: cubic

=====

Record 3
Here is GdFeW after structural relaxation from OQMD via LeMat-Bulk. Energies are from PBE.

POSCAR file:
```
GdFeW
1.0
0.0000 3.0865 3.0865
3.0865 0.0000 3.0865
3.0865 3.0865 0.0000
Gd Fe W
1 1 1
Direct
0.0000 0.0000 0.0000
0.2500 0.2500 0.2500
0.5000 0.5000 0.5000
```

Values from the calculation:
Total energy in eV/atom: -7.9257
Crystal system: cubic

=====

Record 4
Here is GdFeW after structural relaxation from OQMD via LeMat-Bulk. Energies are from PBE.

POSCAR file:
```
GdFeW
1.0
0.0000 3.1174 3.1174
3.1174 0.0000 3.1174
3.1174 3.1174 0.0000
Gd Fe W
1 1 1
Direct
0.0000 0.0000 0.0000
0.7500 0.7500 0.7500
0.2500 0.2500 0.2500
```

Values from the calculation:
Total energy in eV/atom: -6.6694
Crystal system: cubic

=====

Record 5
Here is GdYFe after structural relaxation from OQMD via LeMat-Bulk. Energies are from PBE.

POSCAR file:
```
GdYFe
1.0
0.0000 3.3214 3.3214
3.3214 0.0000 3.3214
3.3214 3.3214 0.0000
Gd Y Fe
1 1 1
Direct
0.0000 0.0000 0.0000
0.5000 0.5000 0.5000
0.2500 0.2500 0.2500
```

Values from the calculation:
Total energy in eV/atom: -6.2438
Crystal system: cubic

=====

Record 6
Here is Gd2ZnFe after structural relaxation from OQMD via LeMat-Bulk. Energies are from PBE.

POSCAR file:
```
Gd2ZnFe
1.0
4.0277 0.0000 0.0000
-2.0138 3.4881 0.0000
0.0000 0.0000 6.9666
Gd Zn Fe
2 1 1
Direct
0.0000 0.0000 0.0000
0.3333 0.6667 0.6000
0.6667 0.3333 0.2943
0.0000 0.0000 0.3770
```

Values from the calculation:
Total energy in eV/atom: -4.5194
Crystal system: trigonal

=====

Record 7
Here is GdZnFe after structural relaxation from OQMD via LeMat-Bulk. Energies are from PBE.

POSCAR file:
```
GdZnFe
1.0
0.0000 3.1444 3.1444
3.1444 0.0000 3.1444
3.1444 3.1444 0.0000
Gd Zn Fe
1 1 1
Direct
0.0000 0.0000 0.0000
0.5000 0.5000 0.5000
0.2500 0.2500 0.2500
```

Values from the calculation:
Total energy in eV/atom: -4.4579
Crystal system: cubic

=====

Record 8
Here is Fe6Ge5 after structural relaxation from OQMD via LeMat-Bulk. Energies are from PBE.

POSCAR file:
```
Fe6Ge5
1.0
4.9535 -3.9207 0.0000
4.9535 3.9207 0.0000
-2.6661 0.0000 7.3411
Fe Ge
12 10
Direct
0.0000 0.5000 0.0000
0.0419 0.5235 0.6753
0.0778 0.0778 0.7785
0.2496 0.7504 0.0000
0.3750 0.3750 0.4770
0.4765 0.9581 0.3247
0.5000 0.0000 0.0000
0.5235 0.0419 0.6753
0.6250 0.6250 0.5230
0.7504 0.2496 0.0000
0.9222 0.9222 0.2215
0.9581 0.4765 0.3247
0.1365 0.1365 0.4962
0.1544 0.1544 0.1263
0.2594 0.6554 0.2882
0.3446 0.7406 0.7118
0.3489 0.3489 0.8983
0.6511 0.6511 0.1017
0.6554 0.2594 0.2882
0.7406 0.3446 0.7118
0.8456 0.8456 0.8737
0.8635 0.8635 0.5038
```

Values from the calculation:
Total energy in eV/atom: -6.7337
Crystal system: monoclinic

=====

For the records above, the corresponding magnetic moment values read 16.8, 0.0, 0.0, 2.3, 0.2, 1.4, 1.4, 9.5 μB/f.u..